Below is an optimized crystal structure of TlSiB3, with properties calculated at the PBE level.

Cell: 4.1405 4.1405 4.1405 Å, 90.00 90.00 90.00°
With the nearest neighbours (Å) after each atom.
Element x y z (fractional)
Tl (0.0000, 0.0000, 0.0000)  12 B 2.93
Si (0.5000, 0.5000, 0.5000)  6 B 2.07
B (0.0000, 0.5000, 0.5000)  2 Si 2.07
B (0.5000, 0.0000, 0.5000)  2 Si 2.07
B (0.5000, 0.5000, 0.0000)  2 Si 2.07

Output
Spin magnetization = 0.00 μB/atom
Raw formation energy = 1.51 eV/atom
Excess energy over the best structure of this formula in the dataset = 0.00 eV/f.u.

Below is an optimized crystal structure of Tl2ZnSiB, with properties calculated at the PBE level.

Cell: 5.5336 5.5336 3.8574 Å, 90.00 90.00 90.00°
With the nearest neighbours (Å) after each atom.
Element x y z (fractional)
Tl (0.0000, 0.5000, 0.0000)  2 Zn 2.77
Tl (0.5000, 0.0000, 0.0000)  2 Zn 2.77
Zn (0.0000, 0.0000, 0.0000)  2 B 1.93
Si (0.5000, 0.5000, 0.5000)  8 Tl 3.37
B (0.0000, 0.0000, 0.5000)  2 Zn 1.93

Output
Spin magnetization = 0.00 μB/atom
Raw formation energy = 0.98 eV/atom

Below is an optimized crystal structure of Tm3Si2B, with properties calculated at the PBE level.

Cell: 10.8944 3.6645 11.5802 Å, 90.00 90.00 90.00°
With the nearest neighbours (Å) after each atom.
Element x y z (fractional)
Tm (0.0687, 0.2500, 0.1254)  5 Si 2.89-3.11, 1 B 2.97
Tm (0.1140, 0.7500, 0.5509)  3 B 2.76-2.84, 5 Si 2.82-2.90
Tm (0.2039, 0.2500, 0.7869)  2 B 2.74, 4 Si 2.83-2.91
Tm (0.2961, 0.7500, 0.2869)  2 B 2.74, 4 Si 2.83-2.91
Tm (0.3860, 0.2500, 0.0509)  3 B 2.76-2.84, 5 Si 2.82-2.90
Tm (0.4313, 0.7500, 0.6254)  5 Si 2.89-3.11, 1 B 2.97
Tm (0.5687, 0.2500, 0.3746)  5 Si 2.89-3.11, 1 B 2.97
Tm (0.6140, 0.7500, 0.9491)  3 B 2.76-2.84, 5 Si 2.82-2.90
Tm (0.7039, 0.2500, 0.7131)  2 B 2.74, 4 Si 2.83-2.91
Tm (0.7961, 0.7500, 0.2131)  2 B 2.74, 4 Si 2.83-2.91
Tm (0.8860, 0.2500, 0.4491)  3 B 2.76-2.84, 5 Si 2.82-2.90
Tm (0.9313, 0.7500, 0.8746)  5 Si 2.89-3.11, 1 B 2.97
Si (0.0387, 0.7500, 0.3179)  2 B 2.21
Si (0.1960, 0.7500, 0.9741)  1 B 2.18
Si (0.3040, 0.2500, 0.4741)  1 B 2.18
Si (0.4613, 0.2500, 0.8179)  2 B 2.21
Si (0.5387, 0.7500, 0.1821)  2 B 2.21
Si (0.6960, 0.7500, 0.5259)  1 B 2.18
Si (0.8040, 0.2500, 0.0259)  1 B 2.18
Si (0.9613, 0.2500, 0.6821)  2 B 2.21
B (0.1342, 0.2500, 0.3742)  3 Si 2.18-2.21
B (0.3658, 0.7500, 0.8742)  3 Si 2.18-2.21
B (0.6342, 0.2500, 0.1258)  3 Si 2.18-2.21
B (0.8658, 0.7500, 0.6258)  3 Si 2.18-2.21

Output
Spin magnetization = 0.07 μB/atom
Raw formation energy = -0.59 eV/atom

Below is an optimized crystal structure of V10Si6B, with properties calculated at the PBE level.

Cell: 7.1424 7.1424 4.8462 Å, 90.00 90.00 120.00°
With the nearest neighbours (Å) after each atom.
Element x y z (fractional)
V (0.0000, 0.2440, 0.2528)  1 B 2.13
V (0.0000, 0.7560, 0.7472)  1 B 2.13
V (0.2440, 0.0000, 0.2528)  1 B 2.13
V (0.2440, 0.2440, 0.7472)  1 B 2.13
V (0.3333, 0.6667, 0.0000)  2 V 2.42, 6 Si 2.51
V (0.3333, 0.6667, 0.5000)  2 V 2.42, 6 Si 2.49
V (0.6667, 0.3333, 0.0000)  2 V 2.42, 6 Si 2.51
V (0.6667, 0.3333, 0.5000)  2 V 2.42, 6 Si 2.49
V (0.7560, 0.0000, 0.7472)  1 B 2.13
V (0.7560, 0.7560, 0.2528)  1 B 2.13
Si (0.0000, 0.3977, 0.7470)  9 V 2.48-2.69
Si (0.0000, 0.6023, 0.2530)  9 V 2.48-2.69
Si (0.3977, 0.0000, 0.7470)  9 V 2.48-2.69
Si (0.3977, 0.3977, 0.2530)  9 V 2.48-2.69
Si (0.6023, 0.0000, 0.2530)  9 V 2.48-2.69
Si (0.6023, 0.6023, 0.7470)  9 V 2.48-2.69
B (0.0000, 0.0000, 0.0000)  6 V 2.13

Output
Spin magnetization = 0.00 μB/atom
Raw formation energy = -0.63 eV/atom

Below is an optimized crystal structure of V2Si2B, with properties calculated at the PBE level.

Cell: 5.8265 5.8265 3.6254 Å, 90.00 90.00 90.00°
With the nearest neighbours (Å) after each atom.
Element x y z (fractional)
V (0.1688, 0.3312, 0.0000)  2 B 2.17, 2 Si 2.38
V (0.3312, 0.8312, 0.0000)  2 B 2.17, 2 Si 2.38
V (0.6688, 0.1688, 0.0000)  2 B 2.17, 2 Si 2.38
V (0.8312, 0.6688, 0.0000)  2 B 2.17, 2 Si 2.38
Si (0.1434, 0.6434, 0.5000)  1 Si 2.36, 6 V 2.38-2.57
Si (0.3566, 0.1434, 0.5000)  1 Si 2.36, 6 V 2.38-2.57
Si (0.6434, 0.8566, 0.5000)  1 Si 2.36, 6 V 2.38-2.57
Si (0.8566, 0.3566, 0.5000)  1 Si 2.36, 6 V 2.38-2.57
B (0.0000, 0.0000, 0.0000)  4 V 2.17
B (0.5000, 0.5000, 0.0000)  4 V 2.17

Output
Spin magnetization = 0.00 μB/atom
Raw formation energy = -0.19 eV/atom
Excess energy over the best structure of this formula in the dataset = 0.00 eV/f.u.

Below is an optimized crystal structure of V2Si2B, with properties calculated at the PBE level.

Cell: 6.6168 6.6168 6.6168 Å, 151.83 151.83 40.26°
With the nearest neighbours (Å) after each atom.
Element x y z (fractional)
V (0.0919, 0.0919, 0.0000)  1 V 2.28, 4 Si 2.54, 4 B 2.55
V (0.9081, 0.9081, 0.0000)  1 V 2.28, 4 Si 2.54, 4 B 2.55
Si (0.2500, 0.7500, 0.5000)  4 Si 2.28, 4 V 2.54
Si (0.7500, 0.2500, 0.5000)  4 Si 2.28, 4 V 2.54
B (0.5000, 0.5000, 0.0000)  8 V 2.55

Output
Spin magnetization = 0.10 μB/atom
Raw formation energy = 0.21 eV/atom
Excess energy over the best structure of this formula in the dataset = 2.01 eV/f.u.

Below is an optimized crystal structure of V8Si2B, with properties calculated at the PBE level.

Cell: 7.3232 7.3232 5.0983 Å, 110.01 110.01 32.99°
With the nearest neighbours (Å) after each atom.
Element x y z (fractional)
V (0.0080, 0.0080, 0.2401)  3 V 2.38-2.46, 2 B 2.40, 1 Si 2.47
V (0.2207, 0.2207, 0.3244)  3 Si 2.48-2.71, 5 V 2.53-2.67
V (0.3537, 0.3537, 0.9849)  1 B 2.03
V (0.4138, 0.4138, 0.5244)  1 B 2.29, 4 V 2.46-2.53, 2 Si 2.50
V (0.5862, 0.5862, 0.4756)  1 B 2.29, 4 V 2.46-2.53, 2 Si 2.50
V (0.6463, 0.6463, 0.0151)  1 B 2.03
V (0.7793, 0.7793, 0.6756)  3 Si 2.48-2.71, 5 V 2.53-2.67
V (0.9920, 0.9920, 0.7599)  3 V 2.38-2.46, 2 B 2.40, 1 Si 2.47
Si (0.1646, 0.1646, 0.7343)  10 V 2.47-2.71
Si (0.8354, 0.8354, 0.2657)  10 V 2.47-2.71
B (0.5000, 0.5000, 0.0000)  2 V 2.03

Output
Spin magnetization = 0.00 μB/atom
Raw formation energy = -0.29 eV/atom

Below is an optimized crystal structure of V5SiB2, with properties calculated at the PBE level.

Cell: 6.7500 6.7500 6.7500 Å, 129.35 129.35 74.45°
With the nearest neighbours (Å) after each atom.
Element x y z (fractional)
V (0.0000, 0.0000, 0.0000)  4 B 2.32
V (0.0326, 0.5326, 0.8394)  3 B 2.23-2.29, 2 Si 2.46
V (0.1932, 0.0326, 0.5000)  3 B 2.23-2.29, 2 Si 2.46
V (0.3068, 0.8068, 0.8394)  3 B 2.23-2.29, 2 Si 2.46
V (0.4674, 0.3068, 0.5000)  3 B 2.23-2.29, 2 Si 2.46
V (0.5000, 0.5000, 0.0000)  4 B 2.32
V (0.5326, 0.6932, 0.5000)  3 B 2.23-2.29, 2 Si 2.46
V (0.6932, 0.1932, 0.1606)  3 B 2.23-2.29, 2 Si 2.46
V (0.8068, 0.9674, 0.5000)  3 B 2.23-2.29, 2 Si 2.46
V (0.9674, 0.4674, 0.1606)  3 B 2.23-2.29, 2 Si 2.46
Si (0.2500, 0.2500, 0.0000)  10 V 2.46-2.69
Si (0.7500, 0.7500, 0.0000)  10 V 2.46-2.69
B (0.1151, 0.3849, 0.5000)  1 B 1.88
B (0.3849, 0.8849, 0.2699)  1 B 1.88
B (0.6151, 0.1151, 0.7301)  1 B 1.88
B (0.8849, 0.6151, 0.5000)  1 B 1.88

Output
Spin magnetization = 0.00 μB/atom
Raw formation energy = -0.70 eV/atom